(1)
BaLaAu2: relaxed, PBE-GGA.

Calculated values
Crystal system = trigonal
Formation energy from the elements = -0.67 eV per atom
Density of states at the Fermi level = 0.74 states/eV/atom

Geometry as POSCAR:
```
BaLaAu2
1.0
4.4571 0.0000 0.0000
2.2285 3.8599 0.0000
2.2285 1.2866 7.8943
Ba La Au
1 1 2
direct
0.4977 0.4977 0.5069
0.6685 0.6685 0.9944
0.0737 0.0737 0.7789
0.2600 0.2600 0.2199
```



(2)
Cr2SbBr: relaxed, PBE-GGA.

Calculated values
Crystal system = monoclinic
Formation energy from raw total energies = 363 meV per atom
Density of states at the Fermi level = 0.36 states/eV/atom

Geometry as POSCAR:
```
Cr2SbBr
1.0
5.3657 -0.0059 0.0239
0.1423 5.3638 0.0239
0.8183 0.7960 3.1772
Br Cr Sb
1 2 1
direct
0.0000 0.5000 0.5000
0.0000 0.0000 0.0000
0.5000 0.5000 0.0000
0.5000 0.0000 0.5000
```



(3)
Ba2GaH: relaxed, PBE-GGA.

Calculated values
Crystal system = trigonal
Density of states at the Fermi level = 0.81 states/eV/atom
Uncorrected energy = -2.7648 eV per atom

Geometry as POSCAR:
```
Ba2GaH
1.0
-1.4066 3.5928 2.1084
-3.5952 2.1065 -1.4034
-6.1637 -2.6302 4.9545
H Ba Ga
1 2 1
direct
0.5000 0.5000 0.5000
0.2387 0.2387 0.2838
0.7613 0.7613 0.7162
0.0000 0.0000 0.0000
```



(4)
PmSm8Sc2: relaxed, PBE-GGA.

Calculated values
Crystal system = monoclinic
Formation energy from the elements = 0.16 eV per atom
Density of states at the Fermi level = 1.39 states/eV/atom

Geometry as POSCAR:
```
PmSm8Sc2
1.0
5.6540 1.5987 0.0000
2.5889 8.5996 0.0000
1.2945 4.2998 8.0450
Pm Sm Sc
1 8 2
direct
0.5000 0.0000 0.0000
0.8267 0.0976 0.2403
0.8267 0.3379 0.7597
0.2929 0.4232 0.0000
0.5000 0.7917 0.4167
0.5000 0.2083 0.5833
0.7071 0.5768 0.0000
0.1733 0.6621 0.2403
0.1733 0.9024 0.7597
0.0000 0.3098 0.3803
0.0000 0.6902 0.6197
```



(5)
BaPa2RuN4: relaxed, PBE-GGA.

Calculated values
Crystal system = orthorhombic
Formation energy from raw total energies = -1110 meV per atom
Density of states at the Fermi level = 0.44 states/eV/atom

Geometry as POSCAR:
```
BaPa2RuN4
1.0
3.5272 0.0000 0.0000
-1.7636 6.1205 0.0000
0.0000 0.0000 12.0476
Ba Pa Ru N
2 4 2 8
direct
0.0909 0.1819 0.7500
0.9091 0.8181 0.2500
0.3658 0.7316 0.5576
0.6342 0.2684 0.0576
0.6342 0.2684 0.4424
0.3658 0.7316 0.9424
0.8255 0.6511 0.7500
0.1745 0.3489 0.2500
0.2567 0.5134 0.0949
0.7433 0.4866 0.5949
0.7433 0.4866 0.9051
0.2567 0.5134 0.4051
0.0000 0.0000 0.5000
0.0000 0.0000 0.0000
0.4221 0.8441 0.7500
0.5779 0.1559 0.2500
```



(6)
SrEuPd4: relaxed, PBE-GGA.

Calculated values
Crystal system = cubic
Formation energy from the elements = -0.66 eV per atom
Density of states at the Fermi level = 2.71 states/eV/atom

Geometry as POSCAR:
```
SrEuPd4
1.0
-1.8238 1.4367 -5.0690
-1.5819 -3.9400 -3.6137
-5.3904 -0.5929 -1.2948
Eu Sr Pd
1 1 4
direct
0.0000 0.0000 0.0000
0.2500 0.2500 0.2500
0.6252 0.6252 0.1243
0.6252 0.1243 0.6252
0.6252 0.6252 0.6252
0.1243 0.6252 0.6252
```



(7)
K2LiCa: relaxed, PBE-GGA.

Calculated values
Crystal system = orthorhombic
Formation energy from the elements = 0.19 eV per atom
Density of states at the Fermi level = 0.76 states/eV/atom

Geometry as POSCAR:
```
K2LiCa
1.0
-1.2025 3.0055 -2.3057
1.0869 -3.2023 -2.0879
-12.5133 -4.5961 0.5352
Ca K Li
1 2 1
direct
0.5000 0.5000 0.7500
0.0000 0.0000 0.0202
0.0000 0.0000 0.4798
0.5000 0.5000 0.2500
```



(8)
YHg3Cl: relaxed, PBE-GGA.

Calculated values
Crystal system = cubic
Formation energy from raw total energies = 67 meV per atom
Density of states at the Fermi level = 0.80 states/eV/atom

Geometry as POSCAR:
```
YHg3Cl
1.0
-5.7203 1.7105 -0.7489
-1.8434 -5.5573 1.3879
-0.2971 1.5489 5.8069
Y Hg Cl
1 3 1
direct
0.0000 0.0000 0.0000
0.0000 0.5000 0.0000
0.0000 0.0000 0.5000
0.5000 0.0000 0.0000
0.5000 0.5000 0.5000
```



The following magnetic moment values (in μB per cell) correspond, in order, to the records above: 0.00; 8.67; 0.00; 0.00; 0.00; 7.16; 0.00; 0.00.